DFT (PBE) results for an optimized crystal structure of TbNd3Th.

a = 7.0469 Å, b = 7.0469 Å, c = 7.0469 Å
α = 90.51°, β = 90.51°, γ = 90.51°
Closest atoms and distances in Å follow each position.
Sites, in units of the cell vectors:
Tb  0.2500  0.2500  0.2500  2 Th 3.02, 3 Nd 3.27
Tb  0.7500  0.7500  0.7500  2 Th 3.02, 3 Nd 3.27
Nd  0.0763  0.7500  0.4237  1 Tb 3.27, 2 Th 3.52
Nd  0.2500  0.5763  0.9237  1 Tb 3.27, 2 Th 3.52
Nd  0.4237  0.0763  0.7500  1 Tb 3.27, 2 Th 3.52
Nd  0.5763  0.9237  0.2500  1 Tb 3.27, 2 Th 3.52
Nd  0.7500  0.4237  0.0763  1 Tb 3.27, 2 Th 3.52
Nd  0.9237  0.2500  0.5763  1 Tb 3.27, 2 Th 3.52
Th  0.0000  0.0000  0.0000  2 Tb 3.02
Th  0.5000  0.5000  0.5000  2 Tb 3.02

Symmetry   R-3c
Formation energy from the elements   0.328 eV/atom
Magnetization   0.00 μB/f.u.
ρ   7.8 g/cm³
Offset from the most stable computed form   41 meV/atom